1.
# Ag4Hg6F19 (PBE-GGA, optimized geometry)
data_Ag4Hg6F19
_cell_length_a 8.5658
_cell_length_b 8.7649
_cell_length_c 8.8802
_cell_angle_alpha 113.18
_cell_angle_beta 107.62
_cell_angle_gamma 105.54
_space_group_name_H-M_alt 'P 1'
_space_group_IT_number 1
loop_
_space_group_symop_operation_xyz
'x,y,z'
loop_
_atom_site_label
_atom_site_fract_x
_atom_site_fract_y
_atom_site_fract_z
Ag1 0.0000 0.0000 0.0000
Ag2 0.0109 0.7169 0.2545
Ag3 0.2753 0.7452 0.9694
Ag4 0.7238 0.4455 0.7016
Hg1 0.1774 0.2330 0.7110
Hg2 0.2257 0.4927 0.5091
Hg3 0.4668 0.4548 0.2311
Hg4 0.4883 0.9964 0.7332
Hg5 0.7076 0.9355 0.4541
Hg6 0.7325 0.2061 0.2234
F1 0.0686 0.5054 0.7149
F2 0.1281 0.8508 0.1186
F3 0.2048 0.2784 0.2327
F4 0.2110 0.9423 0.5430
F5 0.3124 0.4930 0.0130
F6 0.3780 0.3683 0.6485
F7 0.4102 0.7557 0.7948
F8 0.4546 0.7235 0.4640
F9 0.4716 0.1888 0.0026
F10 0.5209 0.9606 0.2111
F11 0.6340 0.3825 0.4205
F12 0.6427 0.1572 0.6206
F13 0.7428 0.6913 0.3071
F14 0.7650 0.0870 0.9594
F15 0.8150 0.7249 0.7936
F16 0.8247 0.5189 0.9754
F17 0.9243 0.1330 0.4038
F18 0.9747 0.0597 0.7417
F19 0.9757 0.4849 0.3274
# total energy	-2.944	eV per atom

2.
# Ag2HgF (PBE-GGA, optimized geometry)
data_Ag2HgF
_cell_length_a 3.0475
_cell_length_b 3.0475
_cell_length_c 7.4141
_cell_angle_alpha 90.00
_cell_angle_beta 90.00
_cell_angle_gamma 90.00
_space_group_name_H-M_alt 'P 4/m m m'
_space_group_IT_number 123
_space_group_name_Hall '-P 4 2'
loop_
_atom_site_label
_atom_site_fract_x
_atom_site_fract_y
_atom_site_fract_z
Ag1 0.0000 0.0000 0.2132
Hg1 0.5000 0.5000 0.5000
F1 0.5000 0.5000 0.0000
# polymorph energy (0 for the lowest one)	0.036	eV per atom